ZnGa2Co2, relaxed, DFT PBE; symmetry = I4/mmm (139); total magnetization = 0.97 μB per cell; VASP energy = -21.0 eV/f.u.
1.0
-2.3730 2.4074 -1.0717
-2.5954 -1.8856 1.5111
-1.7538 3.1366 5.0623
Co Zn Ga
2 1 2
Direct
0.5999 0.5999 0.8002
0.4001 0.4001 0.1998
0.0000 0.0000 0.0000
0.2500 0.7500 0.5000
0.7500 0.2500 0.5000